Entry 1:
Entry from OQMD via LeMat-Bulk: crystalline NaYSnPt at its relaxed geometry (GGA-PBE).

The structure in CIF format:
```
data_NaYSnPt
_chemical_formula_sum 'Na4 Y4 Sn4 Pt4'
_cell_length_a 6.898
_cell_length_b 6.898
_cell_length_c 6.898
_cell_angle_alpha 90.00
_cell_angle_beta 90.00
_cell_angle_gamma 90.00
_symmetry_space_group_name_H-M 'F -4 3 m'
_symmetry_Int_Tables_number 216
_symmetry_space_group_name_Hall 'F -4 2 3'
loop_
_atom_site_label
_atom_site_type_symbol
_atom_site_fract_x
_atom_site_fract_y
_atom_site_fract_z
Na1 Na 0.000 0.000 0.000
Y1 Y 0.250 0.250 0.750
Sn1 Sn 0.250 0.250 0.250
Pt1 Pt 0.000 0.000 0.500
```

Summary:
- VASP energy (eV per atom) = -5.153
- theoretical density (g/cm³) = 8.61


Entry 2:
Entry from OQMD via LeMat-Bulk: crystalline ScCd3Ag2Au2 at its relaxed geometry (GGA-PBE).

The structure in CIF format:
```
data_ScCd3Ag2Au2
_chemical_formula_sum 'Sc1 Cd3 Ag2 Au2'
_cell_length_a 4.844
_cell_length_b 4.815
_cell_length_c 6.673
_cell_angle_alpha 90.00
_cell_angle_beta 90.00
_cell_angle_gamma 90.00
_symmetry_space_group_name_H-M 'P 1 m 1'
_symmetry_Int_Tables_number 6
_symmetry_space_group_name_Hall 'P -2y'
loop_
_atom_site_label
_atom_site_type_symbol
_atom_site_fract_x
_atom_site_fract_y
_atom_site_fract_z
Sc1 Sc 0.000 0.000 0.000
Cd1 Cd 0.526 0.500 0.000
Cd2 Cd 0.527 0.500 0.500
Cd3 Cd 0.995 0.000 0.500
Ag1 Ag 0.029 0.500 0.746
Ag2 Ag 0.492 0.000 0.254
Au1 Au 0.026 0.500 0.238
Au2 Au 0.493 0.000 0.762
```

Summary:
- VASP energy (eV per atom) = -2.931
- theoretical density (g/cm³) = 10.58
- energy of formation from the pure elements (eV/atom) = -0.281


Entry 3:
Entry from OQMD via LeMat-Bulk: crystalline Pr2NdIn3PdAu2 at its relaxed geometry (GGA-PBE).

The structure in CIF format:
```
data_Pr2NdIn3PdAu2
_chemical_formula_sum 'Pr4 Nd2 In6 Pd2 Au4'
_cell_length_a 4.090
_cell_length_b 13.696
_cell_length_c 7.909
_cell_angle_alpha 90.00
_cell_angle_beta 90.00
_cell_angle_gamma 90.00
_symmetry_space_group_name_H-M 'A m m 2'
_symmetry_Int_Tables_number 38
_symmetry_space_group_name_Hall 'A 2 -2'
loop_
_atom_site_label
_atom_site_type_symbol
_atom_site_fract_x
_atom_site_fract_y
_atom_site_fract_z
Pr1 Pr 0.000 0.204 0.000
Nd1 Nd 0.000 0.000 0.613
In1 In 0.500 0.000 0.956
In2 In 0.500 0.124 0.329
Pd1 Pd 0.000 0.000 0.205
Au1 Au 0.500 0.166 0.704
```

Summary:
- VASP energy (eV per atom) = -4.570
- theoretical density (g/cm³) = 9.53


Entry 4:
Entry from OQMD via LeMat-Bulk: crystalline MoPd6Au at its relaxed geometry (GGA-PBE).

The structure in CIF format:
```
data_MoPd6Au
_chemical_formula_sum 'Mo1 Pd6 Au1'
_cell_length_a 3.958
_cell_length_b 3.958
_cell_length_c 7.921
_cell_angle_alpha 90.00
_cell_angle_beta 90.00
_cell_angle_gamma 90.00
_symmetry_space_group_name_H-M 'P 4/m m m'
_symmetry_Int_Tables_number 123
_symmetry_space_group_name_Hall '-P 4 2'
loop_
_atom_site_label
_atom_site_type_symbol
_atom_site_fract_x
_atom_site_fract_y
_atom_site_fract_z
Mo1 Mo 0.000 0.000 0.000
Pd1 Pd 0.000 0.500 0.237
Pd2 Pd 0.500 0.500 0.000
Pd3 Pd 0.500 0.500 0.500
Au1 Au 0.000 0.000 0.500
```

Summary:
- VASP energy (eV per atom) = -5.758
- theoretical density (g/cm³) = 12.47
- energy of formation from the pure elements (eV/atom) = -0.112


Entry 5:
Entry from OQMD via LeMat-Bulk: crystalline HoAuSO at its relaxed geometry (GGA-PBE).

The structure in CIF format:
```
data_HoAuSO
_chemical_formula_sum 'Ho2 Au2 S2 O2'
_cell_length_a 3.880
_cell_length_b 3.880
_cell_length_c 9.091
_cell_angle_alpha 90.00
_cell_angle_beta 90.00
_cell_angle_gamma 90.00
_symmetry_space_group_name_H-M 'P 4 m m'
_symmetry_Int_Tables_number 99
_symmetry_space_group_name_Hall 'P 4 -2'
loop_
_atom_site_label
_atom_site_type_symbol
_atom_site_fract_x
_atom_site_fract_y
_atom_site_fract_z
Ho1 Ho 0.000 0.000 0.000
Ho2 Ho 0.500 0.500 0.245
Au1 Au 0.000 0.500 0.624
S1 S 0.000 0.000 0.406
S2 S 0.500 0.500 0.840
O1 O 0.000 0.500 0.123
```

Summary:
- VASP energy (eV per atom) = -6.036
- theoretical density (g/cm³) = 9.95


Entry 6:
Entry from OQMD via LeMat-Bulk: crystalline Na2ZnCoH6 at its relaxed geometry (GGA-PBE).

The structure in CIF format:
```
data_Na2ZnCoH6
_chemical_formula_sum 'Na12 Zn6 Co6 H36'
_cell_length_a 4.9869
_cell_length_b 4.9869
_cell_length_c 25.3706
_cell_angle_alpha 90.00
_cell_angle_beta 90.00
_cell_angle_gamma 120.00
_symmetry_space_group_name_H-M 'R -3 m'
_symmetry_Int_Tables_number 166
_symmetry_space_group_name_Hall '-R 3 2"'
loop_
_atom_site_label
_atom_site_type_symbol
_atom_site_fract_x
_atom_site_fract_y
_atom_site_fract_z
Na1 Na 0.0000 0.0000 0.1261
Na2 Na 0.0000 0.0000 0.2931
Zn1 Zn 0.0000 0.0000 0.4059
Co1 Co 0.0000 0.0000 0.0000
Co2 Co 0.0000 0.0000 0.5000
H1 H 0.0242 0.5121 0.7041
H2 H 0.0298 0.5149 0.1330
```

Summary:
- VASP energy (eV per atom) = -3.245
- theoretical density (g/cm³) = 3.22